1.
VASP calculation (PBE) on a relaxed SbP3Os2 crystal.

Unit cell a=5.3584 b=3.0285 c=6.1655 alpha=90.00 beta=92.49 gamma=90.00
Last column: nearest neighbours and their distance in Å.
Positions (direct):
Sb: 0.0000 0.0000 0.0000  1 P 2.48, 3 Os 2.59-2.65
P: 0.3481 0.0000 0.2784  3 Os 2.31-2.34, 1 Sb 2.48
P: 0.4945 0.5000 0.7610  3 Os 2.43-2.47, 1 P 2.44
P: 0.8286 0.5000 0.5047  3 Os 2.39-2.46, 1 P 2.44
Os: 0.1738 0.0000 0.6153  5 P 2.31-2.46, 1 Sb 2.59
Os: 0.6383 0.5000 0.1473  4 P 2.34-2.47

DFT total energy: -44.52 eV per cell

---

2.
VASP calculation (PBE) on a relaxed Sc3Si2POs3 crystal.

Unit cell a=6.7851 b=6.7851 c=3.4736 alpha=90.00 beta=90.00 gamma=120.00
Last column: nearest neighbours and their distance in Å.
Positions (direct):
Sc: 0.0000 0.4043 0.0000  4 Si 2.70, 1 P 2.74, 6 Os 2.93-2.96
Sc: 0.4043 0.0000 0.0000  4 Si 2.70, 1 P 2.74, 6 Os 2.93-2.96
Sc: 0.5957 0.5957 0.0000  4 Si 2.70, 1 P 2.74, 6 Os 2.93-2.96
Si: 0.3333 0.6667 0.5000  3 Os 2.60, 6 Sc 2.70
Si: 0.6667 0.3333 0.5000  3 Os 2.60, 6 Sc 2.70
P: 0.0000 0.0000 0.0000  6 Os 2.41
Os: 0.0000 0.7530 0.5000  2 P 2.41, 2 Si 2.60
Os: 0.2470 0.2470 0.5000  2 P 2.41, 2 Si 2.60
Os: 0.7530 0.0000 0.5000  2 P 2.41, 2 Si 2.60

DFT total energy: -76.29 eV per cell

---

3.
VASP calculation (PBE) on a relaxed Sc3SiP2Os3 crystal.

Unit cell a=6.5945 b=6.5945 c=3.6404 alpha=90.00 beta=90.00 gamma=120.00
Last column: nearest neighbours and their distance in Å.
Positions (direct):
Sc: 0.0000 0.4126 0.0000  4 P 2.70, 1 Si 2.72, 6 Os 2.88-2.99
Sc: 0.4126 0.0000 0.0000  4 P 2.70, 1 Si 2.72, 6 Os 2.88-2.99
Sc: 0.5874 0.5874 0.0000  4 P 2.70, 1 Si 2.72, 6 Os 2.88-2.99
Si: 0.0000 0.0000 0.0000  6 Os 2.45, 3 Sc 2.72
P: 0.3333 0.6667 0.5000  3 Os 2.52, 6 Sc 2.70
P: 0.6667 0.3333 0.5000  3 Os 2.52, 6 Sc 2.70
Os: 0.0000 0.7504 0.5000  2 Si 2.45, 2 P 2.52
Os: 0.2496 0.2496 0.5000  2 Si 2.45, 2 P 2.52
Os: 0.7504 0.0000 0.5000  2 Si 2.45, 2 P 2.52

DFT total energy: -78.03 eV per cell

---

Number 1: total moment 0.001 μB/cell. Number 2: total moment 0.010 μB/cell. Number 3: total moment 0.008 μB/cell.